Record 1
Here is a crystal of YSnSb2Te relaxed with PBEsol from Alexandria. Energies are from SCAN.

Results
SG: P4/mmm (123)
Formation energy without anion corrections (meV per atom): 266
E_tot (eV per atom): -34.841

a b c (Å): 5.6795 5.6795 5.6513
angles (deg): 90.00 90.00 90.00
Closest atoms and distances in Å follow each position.
Fractional positions:
Y1 0.0000 0.0000 0.0000  2 Te 2.83, 4 Sb 2.84
Sb1 0.0000 0.5000 0.0000  2 Y 2.84
Sb2 0.5000 0.0000 0.0000  2 Y 2.84
Te1 0.0000 0.0000 0.5000  2 Y 2.83
Sn1 0.5000 0.5000 0.5000  8 Sb 4.01, 4 Te 4.02



Record 2
Here is a crystal of BeRh3 relaxed with PBEsol from Alexandria. Energies are from SCAN.

Results
SG: P4/mmm (123)
E_tot (eV per atom): -26.762
Energy of formation (kJ/mol of formula units): -133

a b c (Å): 2.7057 2.7057 6.5088
angles (deg): 90.00 90.00 90.00
Closest atoms and distances in Å follow each position.
Fractional positions:
Be1 0.0000 0.0000 0.0000  8 Rh 2.36
Rh1 0.5000 0.5000 0.2122  4 Be 2.36
Rh2 0.0000 0.0000 0.5000  12 Rh 2.68-2.71
Rh3 0.5000 0.5000 0.7878  4 Be 2.36



Record 3
Here is a crystal of K2HgPt relaxed with PBEsol from Alexandria. Energies are from SCAN.

Results
SG: Amm2 (38)
E_tot (eV per atom): -38.961
Energy of formation (kJ/mol of formula units): -80

a b c (Å): 4.6325 4.7296 6.2581
angles (deg): 112.20 90.00 90.00
Closest atoms and distances in Å follow each position.
Fractional positions:
K1 0.0000 0.1013 0.2025  3 Pt 3.37-3.39, 4 Hg 3.47
K2 0.5000 0.3928 0.7856  3 Hg 3.33-3.45, 4 Pt 3.45
Hg1 0.5000 0.6906 0.3811  2 Pt 2.69
Pt1 0.0000 0.8086 0.6172  2 Hg 2.69



Record 4
Here is a crystal of MoPtCl2 relaxed with PBEsol from Alexandria. Energies are from SCAN.

Results
SG: R-3m (166)
Formation energy without anion corrections (meV per atom): 109
E_tot (eV per atom): -30.149
Relative energy among the computed polymorphs (eV per atom): 0.0000

a b c (Å): 2.9161 2.9161 9.1603
angles (deg): 80.84 80.84 60.00
Closest atoms and distances in Å follow each position.
Fractional positions:
Mo1 0.5000 0.5000 0.5000  6 Cl 2.43
Pt1 0.0000 0.0000 0.0000  6 Pt 2.92, 6 Cl 3.22
Cl1 0.2317 0.2317 0.3049  3 Mo 2.43
Cl2 0.7683 0.7683 0.6951  3 Mo 2.43



Record 5
Here is a crystal of K2Zn2S3O12 relaxed with PBEsol from Alexandria. Energies are from SCAN.

Results
SG: P2_13 (198)
Formation energy without anion corrections (meV per atom): -1830
E_tot (eV per atom): -9.585

a b c (Å): 9.9211 9.9211 9.9211
angles (deg): 90.00 90.00 90.00
Closest atoms and distances in Å follow each position.
Fractional positions:
K1 0.6849 0.1849 0.3151  9 O 2.87-3.08
K2 0.3151 0.6849 0.1849  9 O 2.87-3.08
K3 0.9495 0.5505 0.4495  9 O 2.81-3.10
K4 0.1849 0.3151 0.6849  9 O 2.87-3.08
K5 0.0505 0.0505 0.0505  9 O 2.81-3.10
K6 0.4495 0.9495 0.5505  9 O 2.81-3.10
K7 0.5505 0.4495 0.9495  9 O 2.81-3.10
K8 0.8151 0.8151 0.8151  9 O 2.87-3.08
Zn1 0.3352 0.3352 0.3352  6 O 2.05-2.07
Zn2 0.1648 0.6648 0.8352  6 O 2.05-2.07
Zn3 0.8352 0.1648 0.6648  6 O 2.05-2.07
Zn4 0.6648 0.8352 0.1648  6 O 2.05-2.07
Zn5 0.5918 0.5918 0.5918  6 O 2.07-2.12
Zn6 0.0918 0.9082 0.4082  6 O 2.07-2.12
Zn7 0.4082 0.0918 0.9082  6 O 2.07-2.12
Zn8 0.9082 0.4082 0.0918  6 O 2.07-2.12
S1 0.2807 0.6233 0.5192  4 O 1.47-1.49
S2 0.7807 0.8767 0.4808  4 O 1.47-1.49
S3 0.7193 0.1233 0.9808  4 O 1.47-1.49
S4 0.8767 0.4808 0.7807  4 O 1.47-1.49
S5 0.9808 0.7193 0.1233  4 O 1.47-1.49
S6 0.4808 0.7807 0.8767  4 O 1.47-1.49
S7 0.6233 0.5192 0.2807  4 O 1.47-1.49
S8 0.5192 0.2807 0.6233  4 O 1.47-1.49
S9 0.1233 0.9808 0.7193  4 O 1.47-1.49
S10 0.2193 0.3767 0.0192  4 O 1.47-1.49
S11 0.0192 0.2193 0.3767  4 O 1.47-1.49
S12 0.3767 0.0192 0.2193  4 O 1.47-1.49
O1 0.2540 0.5952 0.6627  1 S 1.47
O2 0.7540 0.9048 0.3373  1 S 1.47
O3 0.7460 0.0952 0.8373  1 S 1.47
O4 0.9048 0.3373 0.7540  1 S 1.47
O5 0.8373 0.7460 0.0952  1 S 1.47
O6 0.3373 0.7540 0.9048  1 S 1.47
O7 0.5952 0.6627 0.2540  1 S 1.47
O8 0.6627 0.2540 0.5952  1 S 1.47
O9 0.0952 0.8373 0.7460  1 S 1.47
O10 0.4048 0.1627 0.2460  1 S 1.47
O11 0.1627 0.2460 0.4048  1 S 1.47
O12 0.2460 0.4048 0.1627  1 S 1.47
O13 0.2573 0.4962 0.4432  1 S 1.49
O14 0.7573 0.0038 0.5568  1 S 1.49
O15 0.7427 0.9962 0.0568  1 S 1.49
O16 0.0038 0.5568 0.7573  1 S 1.49
O17 0.0568 0.7427 0.9962  1 S 1.49
O18 0.5568 0.7573 0.0038  1 S 1.49
O19 0.9990 0.5780 0.1716  1 S 1.49
O20 0.4962 0.4432 0.2573  1 S 1.49
O21 0.9962 0.0568 0.7427  1 S 1.49
O22 0.5038 0.9432 0.2427  1 S 1.49
O23 0.9432 0.2427 0.5038  1 S 1.49
O24 0.2427 0.5038 0.9432  1 S 1.49
O25 0.4220 0.6716 0.5010  1 S 1.49
O26 0.9220 0.8284 0.4990  1 S 1.49
O27 0.5780 0.1716 0.9990  1 S 1.49
O28 0.8284 0.4990 0.9220  1 S 1.49
O29 0.3120 0.2747 0.9627  1 S 1.48
O30 0.9627 0.3120 0.2747  1 S 1.48
O31 0.2747 0.9627 0.3120  1 S 1.48
O32 0.2253 0.0373 0.8120  1 S 1.48
O33 0.4627 0.1880 0.7253  1 S 1.48
O34 0.7253 0.4627 0.1880  1 S 1.48
O35 0.5373 0.6880 0.7747  1 S 1.48
O36 0.0373 0.8120 0.2253  1 S 1.48
O37 0.7747 0.5373 0.6880  1 S 1.48
O38 0.8120 0.2253 0.0373  1 S 1.48
O39 0.6880 0.7747 0.5373  1 S 1.48
O40 0.1880 0.7253 0.4627  1 S 1.48
O41 0.0780 0.3284 0.0010  1 S 1.49
O42 0.0010 0.0780 0.3284  1 S 1.49
O43 0.3284 0.0010 0.0780  1 S 1.49
O44 0.1716 0.9990 0.5780  1 S 1.49
O45 0.5010 0.4220 0.6716  1 S 1.49
O46 0.6716 0.5010 0.4220  1 S 1.49
O47 0.4990 0.9220 0.8284  1 S 1.49
O48 0.4432 0.2573 0.4962  1 S 1.49



Record 6
Here is a crystal of AgBi3Mo relaxed with PBEsol from Alexandria. Energies are from SCAN.

Results
SG: Pm-3m (221)
E_tot (eV per atom): -59.619
Relative energy among the computed polymorphs (eV per atom): 0.0000
Energy of formation (kJ/mol of formula units): 376

a b c (Å): 5.3005 5.3005 5.3005
angles (deg): 90.00 90.00 90.00
Closest atoms and distances in Å follow each position.
Fractional positions:
Mo1 0.0000 0.0000 0.0000  6 Bi 2.65
Bi1 0.0000 0.5000 0.0000  2 Mo 2.65
Bi2 0.0000 0.0000 0.5000  2 Mo 2.65
Bi3 0.5000 0.0000 0.0000  2 Mo 2.65
Ag1 0.5000 0.5000 0.5000  12 Bi 3.75